1.
Here is a relaxed structure of HoBe2Si from the Alexandria database. Energies are from PBE-GGA.

Uncorrected energy ... -4.606 eV/atom
M_tot ... 0.00 μB/cell

```
data_HoBe2Si
_cell_length_a 3.7633
_cell_length_b 3.7633
_cell_length_c 14.5569
_cell_angle_alpha 90.00
_cell_angle_beta 90.00
_cell_angle_gamma 120.00
_symmetry_space_group_name_H-M 'R -3 m'
_symmetry_Int_Tables_number 166
_symmetry_space_group_name_Hall '-R 3 2"'
loop_
_atom_site_label
_atom_site_fract_x
_atom_site_fract_y
_atom_site_fract_z
Ho1 0.0000 0.0000 0.0000
Be1 0.0000 0.0000 0.2024
Si1 0.0000 0.0000 0.5000
```


2.
Here is a relaxed structure of Ho2Be2Si3 from the Alexandria database. Energies are from PBE-GGA.

Uncorrected energy ... -5.186 eV/atom
M_tot ... 0.00 μB/cell

```
data_Ho2Be2Si3
_cell_length_a 3.8907
_cell_length_b 17.9102
_cell_length_c 6.6215
_cell_angle_alpha 90.00
_cell_angle_beta 90.00
_cell_angle_gamma 90.00
_symmetry_space_group_name_H-M 'C m c m'
_symmetry_Int_Tables_number 63
_symmetry_space_group_name_Hall '-C 2c 2'
loop_
_atom_site_label
_atom_site_fract_x
_atom_site_fract_y
_atom_site_fract_z
Ho1 0.0000 0.0483 0.2500
Ho2 0.0000 0.1673 0.7500
Be1 0.0000 0.3331 0.5918
Si1 0.0000 0.2096 0.2500
Si2 0.0000 0.4389 0.0736
```


| no. | E_form (uncorrected) (eV/atom) |
| --- | --- |
| 1 | -0.243 |
| 2 | -0.489 |